Ba15NaSr4 | Alexandria via LeMat-Bulk | GGA-PBE | optimized geometry; DFT formation energy = 0.03 eV per atom; raw total energy = -1.82 eV per atom; crystal system = tetragonal; symmetry = P4/mmm, No. 123
1.0
6.2212 0.0000 0.0000
0.0000 6.2212 0.0000
0.0000 0.0000 31.8684
Ba Na Sr
15 1 4
Cartesian
3.1106 0.0000 28.7513 Ba
3.1106 3.1106 6.3145 Ba
3.1106 0.0000 15.9342 Ba
0.0000 3.1106 28.7513 Ba
3.1106 3.1106 25.5539 Ba
0.0000 3.1106 22.3239 Ba
0.0000 3.1106 3.1171 Ba
0.0000 3.1106 9.5445 Ba
3.1106 0.0000 22.3239 Ba
3.1106 3.1106 12.7416 Ba
3.1106 3.1106 19.1268 Ba
3.1106 3.1106 0.0000 Ba
0.0000 3.1106 15.9342 Ba
3.1106 0.0000 9.5445 Ba
3.1106 0.0000 3.1171 Ba
0.0000 0.0000 0.0000 Na
0.0000 0.0000 6.3447 Sr
0.0000 0.0000 19.1260 Sr
0.0000 0.0000 12.7424 Sr
0.0000 0.0000 25.5236 Sr